# PBE+U SrWIO2, optimized geometry
# Excess energy over the best structure of this formula in the dataset: 1192 meV per atom
data_SrWIO2
_chemical_formula_sum 'Sr1 W1 I1 O2'
_cell_length_a 4.620
_cell_length_b 4.620
_cell_length_c 6.467
_cell_angle_alpha 90.00
_cell_angle_beta 90.00
_cell_angle_gamma 90.00
_space_group_name_H-M_alt 'P 1'
_space_group_IT_number 1
loop_
_space_group_symop_operation_xyz
'x,y,z'
loop_
_atom_site_label
_atom_site_fract_x
_atom_site_fract_y
_atom_site_fract_z
Sr1 0.000 0.000 0.000
W1 0.500 0.500 0.500
I1 0.000 0.000 0.500
O1 0.000 0.500 0.000
O2 0.500 0.000 0.000